Crystalline Tb3NdAg4 at its relaxed geometry, computed with PBE. Values from VASP.

## Properties
Symmetry: Pmmm (47)
Density in g/cm3: 8.770
Formation enthalpy at 0 K in eV per atom: -0.295

The structure in Quantum ESPRESSO input format:
```
&SYSTEM
  ibrav = 0, nat = 8, ntyp = 3
/
ATOMIC_SPECIES
Nd 144.24 Nd.upf
Tb 158.93 Tb.upf
Ag 107.87 Ag.upf
ATOMIC_POSITIONS crystal
Nd 0.5000 0.5000 0.0000
Tb 0.5000 0.0000 0.2520
Tb 0.5000 0.5000 0.5000
Tb 0.5000 0.0000 0.7480
Ag 0.0000 0.0000 0.5000
Ag 0.0000 0.5000 0.7422
Ag 0.0000 0.0000 0.0000
Ag 0.0000 0.5000 0.2578
CELL_PARAMETERS angstrom
-0.5464 1.1530 -3.4176
-3.6920 -3.6423 -0.6385
-7.2306 6.7287 3.4260
```

Crystalline TbNd3Ag4 at its relaxed geometry, computed with PBE. Values from VASP.

## Properties
Symmetry: P4/mmm (123)
Density in g/cm3: 8.188
Formation enthalpy at 0 K in eV per atom: -0.273

The structure in Quantum ESPRESSO input format:
```
&SYSTEM
  ibrav = 0, nat = 8, ntyp = 3
/
ATOMIC_SPECIES
Nd 144.24 Nd.upf
Tb 158.93 Tb.upf
Ag 107.87 Ag.upf
ATOMIC_POSITIONS crystal
Nd 0.5000 0.5000 0.2465
Nd 0.5000 0.5000 0.5000
Nd 0.5000 0.5000 0.7535
Tb 0.5000 0.5000 0.0000
Ag 0.0000 0.0000 0.8845
Ag 0.0000 0.0000 0.1155
Ag 0.0000 0.0000 0.3739
Ag 0.0000 0.0000 0.6261
CELL_PARAMETERS angstrom
3.7162 0.0000 0.0000
0.0000 3.7162 0.0000
0.0000 0.0000 15.0249
```

Crystalline TbNd2Ag at its relaxed geometry, computed with PBE. Values from VASP.

## Properties
Symmetry: Fm-3m (225)
Density in g/cm3: 7.832
Formation enthalpy at 0 K in eV per atom: 0.068

The structure in Quantum ESPRESSO input format:
```
&SYSTEM
  ibrav = 0, nat = 4, ntyp = 3
/
ATOMIC_SPECIES
Nd 144.24 Nd.upf
Tb 158.93 Tb.upf
Ag 107.87 Ag.upf
ATOMIC_POSITIONS crystal
Nd 0.2500 0.2500 0.2500
Nd 0.7500 0.7500 0.7500
Tb 0.0000 0.0000 0.0000
Ag 0.5000 0.5000 0.5000
CELL_PARAMETERS angstrom
-2.5624 -0.4895 -4.8435
2.8838 -1.2001 -4.5286
-0.5091 -4.9456 -2.3551
```

Crystalline Tb4NdAg at its relaxed geometry, computed with PBE. Values from VASP.

## Properties
Symmetry: Cmc2_1 (36)
Density in g/cm3: 7.856
Formation enthalpy at 0 K in eV per atom: 0.054

The structure in Quantum ESPRESSO input format:
```
&SYSTEM
  ibrav = 0, nat = 12, ntyp = 3
/
ATOMIC_SPECIES
Tb 158.93 Tb.upf
Nd 144.24 Nd.upf
Ag 107.87 Ag.upf
ATOMIC_POSITIONS crystal
Tb 0.9332 0.2110 0.8664
Tb 0.0668 0.7110 0.1336
Tb 0.4663 0.8717 0.9326
Tb 0.5337 0.3717 0.0674
Tb 0.6749 0.5749 0.3498
Tb 0.3251 0.0749 0.6502
Tb 0.7426 0.0907 0.4852
Tb 0.2574 0.5907 0.5148
Nd 0.8652 0.7186 0.7303
Nd 0.1348 0.2186 0.2697
Ag 0.6029 0.9665 0.2057
Ag 0.3971 0.4665 0.7943
CELL_PARAMETERS angstrom
5.4601 0.0000 0.0000
0.0000 6.5144 0.0000
-2.7300 0.0000 10.5519
```

Magnetic moment across the listed records, respectively: 0.000 0.001 0.000 0.000 μB per formula unit.
D(E_F) across the listed records, respectively: 5.8 5.4 4.5 18.1 states/eV per cell.